Li7CdIn3 (PBE, relaxed); ΔE_f = -0.204 eV per atom; mass density = 3.88 Mg/m³; N(E_F) = 1.67 states/eV/f.u.; calculated total energy = -2.2524 eV per atom; space-group type = No. 63; calculated volume = 19.7 Å³ per atom
1.0
3.256 0.000 0.000
-1.628 12.314 0.000
0.000 0.000 10.788
Li Cd In
14 2 6
direct
0.282 0.565 0.750
0.718 0.435 0.250
0.545 0.090 0.382
0.455 0.910 0.618
0.455 0.910 0.882
0.545 0.090 0.118
0.404 0.808 0.401
0.596 0.192 0.599
0.281 0.562 0.425
0.719 0.438 0.575
0.719 0.438 0.925
0.281 0.562 0.075
0.404 0.808 0.099
0.596 0.192 0.901
0.968 0.937 0.250
0.032 0.063 0.750
0.148 0.296 0.407
0.852 0.704 0.593
0.163 0.326 0.750
0.837 0.674 0.250
0.148 0.296 0.093
0.852 0.704 0.907


ErPuAu (PBE, relaxed); excess energy over the best structure of this formula in the dataset = 143.2 meV per atom; ΔE_f = -0.207 eV per atom; mass density = 12.70 Mg/m³; N(E_F) = 7.60 states/eV/f.u.; calculated total energy = -7.5975 eV per atom; space-group type = No. 12; calculated volume = 26.5 Å³ per atom
1.0
-1.176 1.399 -4.751
4.661 -1.897 -0.765
-1.111 -5.822 -3.186
Au Pu Er
2 2 2
direct
0.830 0.830 0.748
0.170 0.170 0.252
0.323 0.677 0.500
0.677 0.323 0.500
0.245 0.755 0.000
0.755 0.245 0.000


SrLiB2 (PBE, relaxed); excess energy over the best structure of this formula in the dataset = 476.5 meV per atom; ΔE_f = 1.057 eV per atom; mass density = 2.98 Mg/m³; N(E_F) = 1.96 states/eV/f.u.; calculated total energy = -3.1807 eV per atom; space-group type = No. 225; calculated volume = 16.2 Å³ per atom
1.0
0.000 3.189 3.189
3.189 0.000 3.189
3.189 3.189 0.000
Sr B Li
1 2 1
direct
0.500 0.500 0.500
0.250 0.250 0.250
0.750 0.750 0.750
0.000 0.000 0.000


What is the calculated volume in the third record?
16.2 Å³ per atom


Among the records above, which one has the highest ΔE_f?
SrLiB2


What is the mass density in the third record?
2.98 Mg/m³


Repeat the first record exactly.
Li7CdIn3 (PBE, relaxed); ΔE_f = -0.204 eV per atom; mass density = 3.88 Mg/m³; N(E_F) = 1.67 states/eV/f.u.; calculated total energy = -2.2524 eV per atom; space-group type = No. 63; calculated volume = 19.7 Å³ per atom
1.0
3.256 0.000 0.000
-1.628 12.314 0.000
0.000 0.000 10.788
Li Cd In
14 2 6
direct
0.282 0.565 0.750
0.718 0.435 0.250
0.545 0.090 0.382
0.455 0.910 0.618
0.455 0.910 0.882
0.545 0.090 0.118
0.404 0.808 0.401
0.596 0.192 0.599
0.281 0.562 0.425
0.719 0.438 0.575
0.719 0.438 0.925
0.281 0.562 0.075
0.404 0.808 0.099
0.596 0.192 0.901
0.968 0.937 0.250
0.032 0.063 0.750
0.148 0.296 0.407
0.852 0.704 0.593
0.163 0.326 0.750
0.837 0.674 0.250
0.148 0.296 0.093
0.852 0.704 0.907